CeHo2Ga2 after structural relaxation. Source: the Alexandria database, functional GGA-PBE.

Lattice parameters (Å, degrees): 4.778 6.256 8.869 90.00 105.62 90.00
Each line ends with the local moment (μB).
Atoms (fractional coordinates):
Ho: 0.192 0.567 0.384  0.00
Ce: 0.607 0.970 0.214  0.37
Ga: 0.424 0.990 0.848  0.00
Ga: 0.798 0.583 0.597  0.00
Ga: 0.202 0.083 0.403  0.00
Ce: 0.393 0.470 0.786  0.37
Ho: 0.982 0.755 0.965  0.03
Ga: 0.576 0.490 0.152  0.00
Ho: 0.018 0.255 0.035  0.03
Ho: 0.808 0.067 0.616  0.00

## Properties
- D(E_F) (states/eV/atom) = 1.42
- DFT formation energy (meV per atom) = -340
- spin magnetization (μB per cell) = 0.91
- space group = Cmc2_1, No. 36
- theoretical density (g/cm3) = 7.93
- E (eV per atom) = -4.568